Record 1
The following is a DFT calculation (GGA-PBEsol) of an optimized crystal structure of MgCuRu.

Results
- E_tot: -15.48 eV for the cell shown
- Energy above the most stable polymorph in this dataset: 0.013 eV/atom

a b c (Å): 4.3424 4.3424 2.5312
angles (deg): 90.00 90.00 120.00
Closest atoms and distances in Å follow each position.
Space group P3m1 (No. 156)
Unique sites:
1 Mg 0.0000 0.0000 0.0000  2 Mg 2.53, 3 Cu 2.58, 3 Ru 2.70
2 Cu 0.3333 0.6667 0.7561  2 Cu 2.53, 3 Mg 2.58, 3 Ru 2.66
3 Ru 0.6667 0.3333 0.4010  2 Ru 2.53, 3 Cu 2.66, 3 Mg 2.70



Record 2
The following is a DFT calculation (GGA-PBEsol) of an optimized crystal structure of Mg2CuRu.

Results
- E_tot: -17.54 eV for the cell shown

a b c (Å): 3.1026 3.2689 5.8533
angles (deg): 90.00 90.00 90.00
Closest atoms and distances in Å follow each position.
Space group Pmmm (No. 47)
Unique sites:
1 Mg 0.0000 0.0000 0.2447  4 Ru 2.67, 4 Cu 2.70, 2 Mg 2.86-2.99
2 Cu 0.5000 0.5000 0.5000  8 Mg 2.70, 2 Ru 2.93
3 Ru 0.5000 0.5000 0.0000  8 Mg 2.67, 2 Cu 2.93



Record 3
The following is a DFT calculation (GGA-PBEsol) of an optimized crystal structure of MgCuRu.

Results
- E_tot: -53.00 eV for the cell shown
- Energy above the most stable polymorph in this dataset: 0.757 eV/atom

a b c (Å): 5.7639 5.7639 5.7639
angles (deg): 90.00 90.00 90.00
Closest atoms and distances in Å follow each position.
Space group F-43m (No. 216)
Unique sites:
1 Mg 0.0000 0.0000 0.0000  4 Cu 2.50, 4 Ru 2.50
2 Cu 0.2500 0.2500 0.2500  4 Mg 2.50
3 Ru 0.2500 0.2500 0.7500  4 Mg 2.50



Record 4
The following is a DFT calculation (GGA-PBEsol) of an optimized crystal structure of MgCuRu.

Results
- E_tot: -31.04 eV for the cell shown
- Energy above the most stable polymorph in this dataset: 0.000 eV/atom

a b c (Å): 2.5877 3.9559 8.1124
angles (deg): 90.00 90.00 90.00
Closest atoms and distances in Å follow each position.
Space group Imm2 (No. 44)
Unique sites:
1 Mg 0.0000 0.0000 0.0000  2 Mg 2.59, 5 Ru 2.65-2.75, 5 Cu 2.67-2.74
2 Cu 0.0000 0.0000 0.3293  2 Cu 2.59, 5 Mg 2.67-2.74, 5 Ru 2.68-2.79
3 Ru 0.0000 0.0000 0.6731  2 Ru 2.59, 5 Mg 2.65-2.75, 5 Cu 2.68-2.79



Record 5
The following is a DFT calculation (GGA-PBEsol) of an optimized crystal structure of Mg3CuS.

Results
- E_tot: -13.68 eV for the cell shown
- Energy relative to the elements, uncorrected: 0.88 kcal/mol of atoms

a b c (Å): 4.7239 4.7239 4.7239
angles (deg): 90.00 90.00 90.00
Closest atoms and distances in Å follow each position.
Space group Pm-3m (No. 221)
Unique sites:
1 Mg 0.0000 0.0000 0.5000  2 S 2.36
2 Cu 0.5000 0.5000 0.5000  12 Mg 3.34
3 S 0.0000 0.0000 0.0000  6 Mg 2.36



Record 6
The following is a DFT calculation (GGA-PBEsol) of an optimized crystal structure of MgCuSi2S.

Results
- E_tot: -18.44 eV for the cell shown
- Energy relative to the elements, uncorrected: 16.07 kcal/mol of atoms

a b c (Å): 4.5349 4.5349 4.5959
angles (deg): 90.00 90.00 90.00
Closest atoms and distances in Å follow each position.
Space group P4/mmm (No. 123)
Unique sites:
1 Mg 0.0000 0.0000 0.0000  2 S 2.30
2 Cu 0.5000 0.5000 0.0000  4 Mg 3.21, 8 Si 3.23
3 Si 0.0000 0.5000 0.5000  2 S 2.27
4 S 0.0000 0.0000 0.5000  4 Si 2.27, 2 Mg 2.30